A geometry-optimized BaCaHg structure. Source: the Alexandria database, functional PBE-GGA.

abc: 10.280 10.280 10.280
angles: 122.28 81.48 127.88
Atoms (fractional coordinates):
Ba1 0.000 0.250 0.250
Ba2 0.000 0.750 0.750
Ba3 0.176 0.132 0.544
Ba4 0.176 0.633 0.044
Ba5 0.588 0.632 0.456
Ba6 0.589 0.133 0.956
Ca1 0.346 0.346 0.000
Ca2 0.346 0.846 0.500
Ca3 0.588 0.210 0.379
Ca4 0.588 0.708 0.878
Ca5 0.830 0.208 0.621
Ca6 0.830 0.710 0.122
Hg1 0.255 0.089 0.167
Hg2 0.255 0.588 0.666
Hg3 0.588 0.838 0.249
Hg4 0.589 0.338 0.751
Hg5 0.922 0.088 0.833
Hg6 0.922 0.589 0.334

- E_tot: -31.8 eV/cell
- N(E_F): 1.29 states/eV per atom
- Formation energy: -0.358 eV/atom
- Crystal system: orthorhombic
- Energy above the most stable polymorph in this dataset: 0.0 kJ/mol of atoms